(a)
DFT (PBE) results for a relaxed structure of ZnBiCl3.

Computed properties:
- V (Å³/atom) = 32.7

Cell lengths 5.4680, 5.4680, 5.4680 Å; angles 90.00, 90.00, 90.00 degrees
Closest atoms and distances in Å follow each position.
Sites, in units of the cell vectors:
Zn 0.5000 0.5000 0.5000  12 Cl 3.87
Cl 0.0000 0.5000 0.0000  2 Bi 2.73
Cl 0.5000 0.0000 0.0000  2 Bi 2.73
Cl 0.0000 0.0000 0.5000  2 Bi 2.73
Bi 0.0000 0.0000 0.0000  6 Cl 2.73



(b)
DFT (PBE) results for a relaxed structure of ZnBiCl3.

Computed properties:
- V (Å³/atom) = 23.6

Cell lengths 4.9080, 4.9080, 4.9080 Å; angles 90.00, 90.00, 90.00 degrees
Closest atoms and distances in Å follow each position.
Sites, in units of the cell vectors:
Cl 0.0000 0.0000 0.5000  2 Zn 2.45
Cl 0.5000 0.0000 0.0000  2 Zn 2.45
Cl 0.0000 0.5000 0.0000  2 Zn 2.45
Zn 0.0000 0.0000 0.0000  6 Cl 2.45
Bi 0.5000 0.5000 0.5000  12 Cl 3.47



What should be chosen as the least stable of them? Choose (b).



(a)
DFT (PBE) results for a relaxed structure of ZnBiCl2.

Computed properties:
- V (Å³/atom) = 29.9

Cell lengths 7.1088, 7.1088, 6.9021 Å; angles 59.00, 59.00, 90.00 degrees
Closest atoms and distances in Å follow each position.
Sites, in units of the cell vectors:
Zn 0.5000 0.5000 0.0000  4 Cl 2.28
Zn 0.2500 0.7500 0.5000  4 Cl 2.28
Cl 0.2613 0.6250 0.2500  2 Zn 2.28
Cl 0.4887 0.1250 0.2500  2 Zn 2.28
Cl 0.8750 0.7387 0.7500  2 Zn 2.28
Cl 0.3750 0.5113 0.7500  2 Zn 2.28
Bi 0.0000 0.0000 0.0000  4 Cl 3.48
Bi 0.7500 0.2500 0.5000  4 Cl 3.48



(b)
DFT (PBE) results for a relaxed structure of ZnBiCl2.

Computed properties:
- V (Å³/atom) = 28.4

Cell lengths 11.2017, 11.2017, 11.2017 Å; angles 17.73, 17.73, 17.73 degrees
Closest atoms and distances in Å follow each position.
Sites, in units of the cell vectors:
Cl 0.8765 0.8765 0.8765  3 Zn 2.45
Cl 0.1235 0.1235 0.1235  3 Zn 2.45
Bi 0.0000 0.0000 0.0000  6 Bi 3.45
Zn 0.5000 0.5000 0.5000  6 Cl 2.45



What should be chosen as the least stable of them? Choose (a).



(a)
DFT (PBE) results for a relaxed structure of ZnBi2Cl.

Computed properties:
- V (Å³/atom) = 24.8

Cell lengths 5.1965, 5.1965, 5.1965 Å; angles 60.00, 60.00, 60.00 degrees
Closest atoms and distances in Å follow each position.
Sites, in units of the cell vectors:
Bi 0.7500 0.7500 0.7500  4 Cl 3.18, 4 Zn 3.18
Bi 0.2500 0.2500 0.2500  4 Cl 3.18, 4 Zn 3.18
Zn 0.5000 0.5000 0.5000  8 Bi 3.18
Cl 0.0000 0.0000 0.0000  8 Bi 3.18



(b)
DFT (PBE) results for a relaxed structure of ZnBi2Cl.

Computed properties:
- V (Å³/atom) = 29.5

Cell lengths 4.6566, 4.6566, 11.3865 Å; angles 78.20, 78.20, 90.00 degrees
Closest atoms and distances in Å follow each position.
Sites, in units of the cell vectors:
Cl 0.2500 0.7500 0.5000  4 Bi 3.25, 4 Zn 3.29
Cl 0.5000 0.5000 0.0000  4 Bi 3.25, 4 Zn 3.29
Zn 0.7500 0.2500 0.5000  4 Bi 3.12, 4 Cl 3.29
Zn 0.0000 0.0000 0.0000  4 Bi 3.12, 4 Cl 3.29
Bi 0.8750 0.9132 0.7500  2 Bi 3.05, 2 Zn 3.12, 2 Cl 3.25
Bi 0.6632 0.1250 0.2500  2 Bi 3.05, 2 Zn 3.12, 2 Cl 3.25
Bi 0.0868 0.6250 0.2500  2 Bi 3.05, 2 Zn 3.12, 2 Cl 3.25
Bi 0.3750 0.3368 0.7500  2 Bi 3.05, 2 Zn 3.12, 2 Cl 3.25



What should be chosen as the least stable of them? Choose (a).



(a)
DFT (PBE) results for a relaxed structure of Zn2BiCl.

Computed properties:
- V (Å³/atom) = 22.4

Cell lengths 5.0223, 5.0223, 5.0223 Å; angles 60.00, 60.00, 60.00 degrees
Closest atoms and distances in Å follow each position.
Sites, in units of the cell vectors:
Zn 0.2500 0.2500 0.2500  4 Bi 3.08, 4 Cl 3.08
Zn 0.7500 0.7500 0.7500  4 Cl 3.08, 4 Bi 3.08
Cl 0.0000 0.0000 0.0000  8 Zn 3.08
Bi 0.5000 0.5000 0.5000  8 Zn 3.08



(b)
DFT (PBE) results for a relaxed structure of Zn2BiCl.

Computed properties:
- V (Å³/atom) = 29.6

Cell lengths 6.0469, 6.0469, 7.7551 Å; angles 67.05, 67.05, 90.00 degrees
Closest atoms and distances in Å follow each position.
Sites, in units of the cell vectors:
Zn 0.6268 0.1250 0.2500  2 Bi 2.67, 2 Cl 2.69
Zn 0.8750 0.8768 0.7500  2 Bi 2.67, 2 Cl 2.69
Zn 0.3750 0.3732 0.7500  2 Bi 2.67, 2 Cl 2.69
Zn 0.1232 0.6250 0.2500  2 Bi 2.67, 2 Cl 2.69
Bi 0.0000 0.0000 0.0000  4 Zn 2.67
Bi 0.7500 0.2500 0.5000  4 Zn 2.67
Cl 0.5000 0.5000 0.0000  4 Zn 2.69
Cl 0.2500 0.7500 0.5000  4 Zn 2.69



What should be chosen as the least stable of them? Choose (a).



(a)
DFT (PBE) results for a relaxed structure of Zn2Bi2Cl.

Computed properties:
- V (Å³/atom) = 24.7

Cell lengths 3.7226, 3.7226, 9.2976 Å; angles 78.45, 78.45, 90.00 degrees
Closest atoms and distances in Å follow each position.
Sites, in units of the cell vectors:
Zn 0.7500 0.2500 0.5000  4 Zn 2.63
Zn 0.2500 0.7500 0.5000  4 Zn 2.63
Cl 0.0000 0.0000 0.0000  8 Bi 3.41, 4 Cl 3.72
Bi 0.3787 0.3787 0.2425  4 Zn 2.96
Bi 0.6213 0.6213 0.7575  4 Zn 2.96



(b)
DFT (PBE) results for a relaxed structure of Zn2Bi2Cl.

Computed properties:
- V (Å³/atom) = 24.7

Cell lengths 8.5478, 8.5478, 3.3850 Å; angles 90.00, 90.00, 90.00 degrees
Closest atoms and distances in Å follow each position.
Sites, in units of the cell vectors:
Cl 0.0000 0.0000 0.0000  4 Zn 3.25, 2 Cl 3.39
Cl 0.5000 0.5000 0.0000  4 Zn 3.25, 2 Cl 3.39
Bi 0.8534 0.3534 0.5000  6 Zn 2.97-3.06
Bi 0.1466 0.6466 0.5000  6 Zn 2.97-3.06
Bi 0.3534 0.1466 0.5000  6 Zn 2.97-3.06
Bi 0.6466 0.8534 0.5000  6 Zn 2.97-3.06
Zn 0.8483 0.6517 0.0000  6 Bi 2.97-3.06, 2 Cl 3.25
Zn 0.6517 0.1517 0.0000  6 Bi 2.97-3.06, 2 Cl 3.25
Zn 0.1517 0.3483 0.0000  6 Bi 2.97-3.06, 2 Cl 3.25
Zn 0.3483 0.8483 0.0000  6 Bi 2.97-3.06, 2 Cl 3.25



What should be chosen as the least stable of them? Choose (b).



(a)
DFT (PBE) results for a relaxed structure of ZnBiCl4.

Computed properties:
- V (Å³/atom) = 31.6

Cell lengths 6.4127, 6.4111, 10.2694 Å; angles 108.19, 108.19, 90.01 degrees
Closest atoms and distances in Å follow each position.
Sites, in units of the cell vectors:
Zn 0.1250 0.8750 0.7500  4 Cl 2.31
Zn 0.8750 0.1250 0.2500  4 Cl 2.31
Bi 0.6250 0.3750 0.7501  4 Cl 2.78
Bi 0.3750 0.6250 0.2499  4 Cl 2.78
Cl 0.3853 0.6937 0.8722  1 Zn 2.31
Cl 0.8215 0.6147 0.6279  1 Zn 2.31
Cl 0.6937 0.9869 0.3721  1 Zn 2.31
Cl 0.3063 0.0131 0.6279  1 Zn 2.31
Cl 0.0132 0.8215 0.1278  1 Zn 2.31
Cl 0.1785 0.3853 0.3721  1 Zn 2.31
Cl 0.6147 0.3063 0.1278  1 Zn 2.31
Cl 0.9868 0.1785 0.8722  1 Zn 2.31



(b)
DFT (PBE) results for a relaxed structure of ZnBiCl4.

Computed properties:
- V (Å³/atom) = 29.4

Cell lengths 6.1274, 6.1274, 6.1272 Å; angles 111.73, 111.73, 105.05 degrees
Closest atoms and distances in Å follow each position.
Sites, in units of the cell vectors:
Cl 0.7398 0.2566 0.9960  1 Zn 2.35
Cl 0.7435 0.7394 0.4832  1 Zn 2.35
Cl 0.2562 0.2602 0.5168  1 Zn 2.35
Cl 0.2606 0.7438 0.0040  1 Zn 2.35
Bi 0.7500 0.2500 0.5000  8 Cl 3.05-3.08
Zn 0.5000 0.5000 0.0000  4 Cl 2.35



What should be chosen as the least stable of them? Choose (b).



(a)
DFT (PBE) results for a relaxed structure of CoBi3.

Computed properties:
- V (Å³/atom) = 27.4

Cell lengths 3.3545, 5.4685, 6.7820 Å; angles 113.78, 104.32, 90.00 degrees
Closest atoms and distances in Å follow each position.
Sites, in units of the cell vectors:
Co 0.0000 0.0234 0.0000  6 Bi 2.67-2.72
Bi 0.3357 0.7052 0.6714  2 Co 2.72
Bi 0.5000 0.4044 0.0000  2 Co 2.67
Bi 0.6643 0.0337 0.3286  2 Co 2.72



(b)
DFT (PBE) results for a relaxed structure of CoBi3.

Computed properties:
- V (Å³/atom) = 26.9

Cell lengths 4.0931, 8.8927, 11.8048 Å; angles 90.00, 90.00, 90.00 degrees
Closest atoms and distances in Å follow each position.
Sites, in units of the cell vectors:
Bi 0.2500 0.3007 0.1042  3 Co 2.70-2.76
Bi 0.7500 0.1208 0.9082  1 Co 2.70
Bi 0.2500 0.4093 0.8276  3 Co 2.72-2.79
Bi 0.7500 0.0907 0.3276  3 Co 2.72-2.79
Bi 0.2500 0.9093 0.6724  3 Co 2.72-2.79
Bi 0.7500 0.5907 0.1724  3 Co 2.72-2.79
Bi 0.2500 0.8007 0.3958  3 Co 2.70-2.76
Bi 0.2500 0.3792 0.4082  1 Co 2.70
Bi 0.7500 0.6208 0.5918  1 Co 2.70
Bi 0.7500 0.1993 0.6042  3 Co 2.70-2.76
Bi 0.7500 0.6993 0.8958  3 Co 2.70-2.76
Bi 0.2500 0.8792 0.0918  1 Co 2.70
Co 0.7500 0.9094 0.5205  2 Co 2.65, 7 Bi 2.70-2.79
Co 0.2500 0.5906 0.0205  2 Co 2.65, 7 Bi 2.70-2.79
Co 0.7500 0.4094 0.9795  2 Co 2.65, 7 Bi 2.70-2.79
Co 0.2500 0.0906 0.4795  2 Co 2.65, 7 Bi 2.70-2.79



What should be chosen as the least stable of them? Choose (a).



(a)
DFT (PBE) results for a relaxed structure of Cr3CoBi.

Computed properties:
- V (Å³/atom) = 29.5

Cell lengths 5.2832, 5.2832, 5.2832 Å; angles 90.00, 90.00, 90.00 degrees
Closest atoms and distances in Å follow each position.
Sites, in units of the cell vectors:
Cr 0.5000 0.0000 0.0000  2 Bi 2.64
Cr 0.0000 0.0000 0.5000  2 Bi 2.64
Cr 0.0000 0.5000 0.0000  2 Bi 2.64
Bi 0.0000 0.0000 0.0000  6 Cr 2.64
Co 0.5000 0.5000 0.5000  12 Cr 3.74



(b)
DFT (PBE) results for a relaxed structure of Cr3CoBi.

Computed properties:
- V (Å³/atom) = 17.9

Cell lengths 4.4734, 4.4734, 4.4734 Å; angles 90.00, 90.00, 90.00 degrees
Closest atoms and distances in Å follow each position.
Sites, in units of the cell vectors:
Cr 0.0000 0.0000 0.5000  2 Co 2.24
Cr 0.0000 0.5000 0.0000  2 Co 2.24
Cr 0.5000 0.0000 0.0000  2 Co 2.24
Co 0.0000 0.0000 0.0000  6 Cr 2.24
Bi 0.5000 0.5000 0.5000  12 Cr 3.16



What should be chosen as the least stable of them? Choose (a).



(a)
DFT (PBE) results for a relaxed structure of CrCoBi2.

Computed properties:
- V (Å³/atom) = 18.8

Cell lengths 4.7388, 4.7388, 4.7388 Å; angles 60.00, 60.00, 60.00 degrees
Closest atoms and distances in Å follow each position.
Sites, in units of the cell vectors:
Bi 0.7500 0.7500 0.7500  4 Cr 2.90, 4 Co 2.90
Bi 0.2500 0.2500 0.2500  4 Co 2.90, 4 Cr 2.90
Cr 0.0000 0.0000 0.0000  8 Bi 2.90
Co 0.5000 0.5000 0.5000  8 Bi 2.90



(b)
DFT (PBE) results for a relaxed structure of CrCoBi2.

Computed properties:
- V (Å³/atom) = 22.8

Cell lengths 7.5757, 7.5757, 6.2301 Å; angles 52.56, 52.56, 90.00 degrees
Closest atoms and distances in Å follow each position.
Sites, in units of the cell vectors:
Bi 0.3750 0.3353 0.7500  2 Co 2.60
Bi 0.0853 0.6250 0.2500  2 Co 2.60
Bi 0.6647 0.1250 0.2500  2 Co 2.60
Bi 0.8750 0.9147 0.7500  2 Co 2.60
Cr 0.5000 0.5000 0.0000  4 Bi 3.01, 2 Co 3.18
Cr 0.2500 0.7500 0.5000  4 Bi 3.01, 2 Co 3.18
Co 0.0000 0.0000 0.0000  4 Bi 2.60
Co 0.7500 0.2500 0.5000  4 Bi 2.60



What should be chosen as the least stable of them? Choose (a).



(a)
DFT (PBE) results for a relaxed structure of CsCo3Bi.

Computed properties:
- V (Å³/atom) = 22.5

Cell lengths 4.8259, 4.8259, 4.8259 Å; angles 90.00, 90.00, 90.00 degrees
Closest atoms and distances in Å follow each position.
Sites, in units of the cell vectors:
Cs 0.0000 0.0000 0.0000  6 Co 2.41
Co 0.0000 0.5000 0.0000  2 Cs 2.41
Co 0.5000 0.0000 0.0000  2 Cs 2.41
Co 0.0000 0.0000 0.5000  2 Cs 2.41
Bi 0.5000 0.5000 0.5000  12 Co 3.41



(b)
DFT (PBE) results for a relaxed structure of CsCo3Bi.

Computed properties:
- V (Å³/atom) = 27.0

Cell lengths 5.1278, 5.1278, 5.1278 Å; angles 90.00, 90.00, 90.00 degrees
Closest atoms and distances in Å follow each position.
Sites, in units of the cell vectors:
Cs 0.5000 0.5000 0.5000  12 Co 3.63
Bi 0.0000 0.0000 0.0000  6 Co 2.56
Co 0.0000 0.5000 0.0000  2 Bi 2.56
Co 0.0000 0.0000 0.5000  2 Bi 2.56
Co 0.5000 0.0000 0.0000  2 Bi 2.56



What should be chosen as the least stable of them? Choose (a).